(1)
Compound: Ce5Ge5Rh2
Source: Alexandria via LeMat-Bulk
Functional: PBE
Structure: optimized geometry

abc: 6.1379 6.1379 11.4101
angles: 109.61 109.61 40.65
Fractional coordinates of all 12 atoms:
1 Ce 0.0000 0.0000 0.0000
2 Ce 0.3314 0.3314 0.5011
3 Ce 0.3683 0.3683 0.2397
4 Ce 0.6317 0.6317 0.7603
5 Ce 0.6686 0.6686 0.4989
6 Ge 0.0000 0.0000 0.5000
7 Ge 0.0845 0.0845 0.2817
8 Ge 0.2905 0.2905 0.9567
9 Ge 0.7095 0.7095 0.0433
10 Ge 0.9155 0.9155 0.7183
11 Rh 0.3164 0.3164 0.7492
12 Rh 0.6836 0.6836 0.2508

Computed properties:
Total moment ... 2.27 μB per formula unit
E ... -6.317 eV per atom
Energy above the most stable polymorph in this dataset ... 89.0 meV per atom
Energy relative to the elements ... -0.696 eV/atom

(2)
Compound: Cr2CoNi
Source: Alexandria via LeMat-Bulk
Functional: PBE
Structure: optimized geometry

abc: 2.4537 2.4537 7.3647
angles: 90.00 90.00 90.00
Fractional coordinates of all 4 atoms:
1 Cr 0.0000 0.0000 0.0000
2 Cr 0.5000 0.5000 0.2741
3 Co 0.5000 0.5000 0.7689
4 Ni 0.0000 0.0000 0.5196

Computed properties:
Total moment ... 0.00 μB per formula unit
E ... -7.957 eV per atom
Energy above the most stable polymorph in this dataset ... 47.9 meV per atom
Energy relative to the elements ... 0.077 eV/atom

(3)
Compound: Sr2CaAl9
Source: Alexandria via LeMat-Bulk
Functional: PBE
Structure: optimized geometry

abc: 9.5856 9.5856 9.5856
angles: 35.19 35.19 35.19
Fractional coordinates of all 12 atoms:
1 Sr 0.1417 0.1417 0.1417
2 Sr 0.8583 0.8583 0.8583
3 Ca 0.0000 0.0000 0.0000
4 Al 0.0735 0.5831 0.5831
5 Al 0.3351 0.3351 0.3351
6 Al 0.4169 0.4169 0.9265
7 Al 0.4169 0.9265 0.4169
8 Al 0.5000 0.5000 0.5000
9 Al 0.5831 0.0735 0.5831
10 Al 0.5831 0.5831 0.0735
11 Al 0.6649 0.6649 0.6649
12 Al 0.9265 0.4169 0.4169

Computed properties:
Total moment ... 0.00 μB per formula unit
E ... -3.452 eV per atom
Energy relative to the elements ... -0.198 eV/atom

(4)
Compound: La7Nd2Ho3
Source: Alexandria via LeMat-Bulk
Functional: PBE
Structure: optimized geometry

abc: 6.5699 3.6033 17.8666
angles: 90.00 95.47 90.00
Fractional coordinates of all 12 atoms:
1 La 0.0000 0.0000 0.0000
2 La 0.2281 0.5000 0.1717
3 La 0.2624 0.5000 0.4908
4 La 0.2810 0.0000 0.8344
5 La 0.7190 0.0000 0.1656
6 La 0.7376 0.5000 0.5092
7 La 0.7719 0.5000 0.8283
8 Nd 0.0596 0.5000 0.6697
9 Nd 0.9404 0.5000 0.3303
10 Ho 0.4570 0.0000 0.3383
11 Ho 0.5000 0.5000 0.0000
12 Ho 0.5430 0.0000 0.6617

Computed properties:
Total moment ... 0.00 μB per formula unit
E ... -4.755 eV per atom
Energy relative to the elements ... 0.058 eV/atom

(5)
Compound: Zn5Si
Source: Alexandria via LeMat-Bulk
Functional: PBE
Structure: optimized geometry

abc: 6.2771 6.2771 3.9352
angles: 90.00 90.00 143.71
Fractional coordinates of all 6 atoms:
1 Zn 0.0000 0.0000 0.0000
2 Zn 0.1686 0.8314 0.5000
3 Zn 0.3313 0.6687 0.0000
4 Zn 0.6687 0.3313 0.0000
5 Zn 0.8314 0.1686 0.5000
6 Si 0.5000 0.5000 0.5000

Computed properties:
Total moment ... 0.00 μB per formula unit
E ... -1.821 eV per atom
Energy above the most stable polymorph in this dataset ... 31.1 meV per atom

(6)
Compound: Ba2LiLa
Source: Alexandria via LeMat-Bulk
Functional: PBE
Structure: optimized geometry

abc: 7.2824 7.2824 7.2824
angles: 136.52 136.52 63.18
Fractional coordinates of all 4 atoms:
1 Ba 0.0000 0.0000 0.0000
2 Ba 0.7500 0.2500 0.5000
3 Li 0.5000 0.5000 0.0000
4 La 0.2500 0.7500 0.5000

Computed properties:
Total moment ... 0.33 μB per formula unit
E ... -2.402 eV per atom
Energy above the most stable polymorph in this dataset ... 140.3 meV per atom
Energy relative to the elements ... 0.270 eV/atom

(7)
Compound: La3P2
Source: Alexandria via LeMat-Bulk
Functional: PBE
Structure: optimized geometry

abc: 10.6399 10.6399 10.6399
angles: 22.88 22.88 22.88
Fractional coordinates of all 5 atoms:
1 La 0.0000 0.0000 0.0000
2 La 0.2258 0.2258 0.2258
3 La 0.7742 0.7742 0.7742
4 P 0.3910 0.3910 0.3910
5 P 0.6090 0.6090 0.6090

Computed properties:
Total moment ... 1.32 μB per formula unit
E ... -6.340 eV per atom
Energy above the most stable polymorph in this dataset ... 0.0 meV per atom
Energy relative to the elements ... -1.219 eV/atom

(8)
Compound: TlCdGe
Source: Alexandria via LeMat-Bulk
Functional: PBE
Structure: optimized geometry

abc: 7.3308 7.3308 6.1474
angles: 112.36 112.36 31.31
Fractional coordinates of all 6 atoms:
1 Tl 0.1281 0.1281 0.2879
2 Tl 0.8719 0.8719 0.7121
3 Cd 0.4415 0.4415 0.2401
4 Cd 0.5585 0.5585 0.7599
5 Ge 0.2252 0.2252 0.8455
6 Ge 0.7748 0.7748 0.1545

Computed properties:
Total moment ... 0.00 μB per formula unit
E ... -2.501 eV per atom
Energy above the most stable polymorph in this dataset ... 0.0 meV per atom
Energy relative to the elements ... 0.132 eV/atom

(9)
Compound: NdTm2Cd3
Source: Alexandria via LeMat-Bulk
Functional: PBE
Structure: optimized geometry

abc: 3.7321 3.7321 11.3654
angles: 90.00 90.00 90.00
Fractional coordinates of all 6 atoms:
1 Nd 0.0000 0.0000 0.0000
2 Tm 0.0000 0.0000 0.3385
3 Tm 0.0000 0.0000 0.6615
4 Cd 0.5000 0.5000 0.1821
5 Cd 0.5000 0.5000 0.5000
6 Cd 0.5000 0.5000 0.8179

Computed properties:
Total moment ... 0.55 μB per formula unit
E ... -3.052 eV per atom
Energy above the most stable polymorph in this dataset ... 0.0 meV per atom
Energy relative to the elements ... -0.310 eV/atom

(10)
Compound: ReIrOs
Source: Alexandria via LeMat-Bulk
Functional: PBE
Structure: optimized geometry

abc: 6.0822 6.0822 3.8964
angles: 90.00 90.00 142.65
Fractional coordinates of all 6 atoms:
1 Re 0.0875 0.9125 0.7500
2 Re 0.9125 0.0875 0.2500
3 Ir 0.4184 0.5816 0.7500
4 Ir 0.5816 0.4184 0.2500
5 Os 0.2520 0.7480 0.2500
6 Os 0.7480 0.2520 0.7500

Computed properties:
Total moment ... 0.00 μB per formula unit
E ... -10.886 eV per atom
Energy above the most stable polymorph in this dataset ... 7.8 meV per atom
Energy relative to the elements ... -0.040 eV/atom

(11)
Compound: MnCo3
Source: Alexandria via LeMat-Bulk
Functional: PBE
Structure: optimized geometry

abc: 2.4895 2.4895 7.9884
angles: 90.00 90.00 120.00
Fractional coordinates of all 4 atoms:
1 Mn 0.0000 0.0000 0.0000
2 Co 0.0000 0.0000 0.5000
3 Co 0.6667 0.3333 0.2479
4 Co 0.6667 0.3333 0.7521

Computed properties:
Total moment ... 3.45 μB per formula unit
E ... -7.573 eV per atom
Energy relative to the elements ... 0.049 eV/atom

(12)
Compound: AcAsF
Source: Alexandria via LeMat-Bulk
Functional: PBE
Structure: optimized geometry

abc: 6.0091 6.0091 6.0091
angles: 144.99 144.99 50.35
Fractional coordinates of all 3 atoms:
1 Ac 0.0000 0.0000 0.0000
2 As 0.2998 0.2998 0.0000
3 F 0.5779 0.5779 0.0000

Computed properties:
Total moment ... 0.00 μB per formula unit
E ... -5.396 eV per atom
Energy above the most stable polymorph in this dataset ... 360.5 meV per atom